# CuAgAsW | OQMD via LeMat-Bulk | PBE | optimized geometry
# - energy above the most stable polymorph in this dataset (eV per atom) = 0.0000
data_CuAgAsW
_chemical_formula_sum 'Cu4 Ag4 As4 W4'
_symmetry_space_group_name_H-M 'F -4 3 m'
_symmetry_Int_Tables_number 216
_symmetry_space_group_name_Hall 'F -4 2 3'
_cell_length_a 6.286
_cell_length_b 6.286
_cell_length_c 6.286
_cell_angle_alpha 90.00
_cell_angle_beta 90.00
_cell_angle_gamma 90.00
loop_
_atom_site_label
_atom_site_type_symbol
_atom_site_fract_x
_atom_site_fract_y
_atom_site_fract_z
Cu1 Cu 0.000 0.000 0.000
Ag1 Ag 0.250 0.250 0.250
As1 As 0.250 0.250 0.750
W1 W 0.000 0.000 0.500